# Pm2Ga8Fe PBE optimized geometry
data_Pm2Ga8Fe
_chemical_formula_sum 'Pm2 Ga8 Fe1'
_cell_length_a 4.284
_cell_length_b 4.284
_cell_length_c 11.385
_cell_angle_alpha 90.00
_cell_angle_beta 90.00
_cell_angle_gamma 90.00
_space_group_name_H-M_alt 'P 4/m m m'
_space_group_IT_number 123
_space_group_name_Hall '-P 4 2'
loop_
_atom_site_label
_atom_site_type_symbol
_atom_site_fract_x
_atom_site_fract_y
_atom_site_fract_z
Pm1 Pm 0.000 0.000 0.196
Ga1 Ga 0.000 0.500 0.000
Ga2 Ga 0.000 0.500 0.387
Ga3 Ga 0.500 0.500 0.195
Fe1 Fe 0.000 0.000 0.500
# * formation energy: -4.81 eV/f.u.

# Pm12Hg5Au2 PBE optimized geometry
data_Pm12Hg5Au2
_chemical_formula_sum 'Pm24 Hg10 Au4'
_cell_length_a 17.366
_cell_length_b 7.314
_cell_length_c 9.132
_cell_angle_alpha 90.00
_cell_angle_beta 93.43
_cell_angle_gamma 90.00
_space_group_name_H-M_alt 'C 1 2/m 1'
_space_group_IT_number 12
loop_
_space_group_symop_operation_xyz
'x,y,z'
'-x,-y,-z'
'-x,y,-z'
'x,-y,z'
'x+1/2,y+1/2,z'
'-x+1/2,-y+1/2,-z'
'-x+1/2,y+1/2,-z'
'x+1/2,-y+1/2,z'
loop_
_atom_site_label
_atom_site_type_symbol
_atom_site_fract_x
_atom_site_fract_y
_atom_site_fract_z
Pm1 Pm 0.005 0.000 0.300
Pm2 Pm 0.045 0.500 0.190
Pm3 Pm 0.150 0.247 0.516
Pm4 Pm 0.163 0.250 0.929
Hg1 Hg 0.000 0.500 0.500
Hg2 Hg 0.209 0.000 0.243
Hg3 Hg 0.230 0.500 0.259
Au1 Au 0.000 0.189 0.000
# * formation energy: -5.39 eV/f.u.

# Pm3Dy2Er4 PBE optimized geometry
data_Pm3Dy2Er4
_chemical_formula_sum 'Pm12 Dy8 Er16'
_cell_length_a 16.519
_cell_length_b 11.586
_cell_length_c 6.050
_cell_angle_alpha 90.00
_cell_angle_beta 97.16
_cell_angle_gamma 90.00
_space_group_name_H-M_alt 'C 1 2/c 1'
_space_group_IT_number 15
loop_
_space_group_symop_operation_xyz
'x,y,z'
'-x,-y,-z'
'-x,y,-z+1/2'
'x,-y,z+1/2'
'x+1/2,y+1/2,z'
'-x+1/2,-y+1/2,-z'
'-x+1/2,y+1/2,-z+1/2'
'x+1/2,-y+1/2,z+1/2'
loop_
_atom_site_label
_atom_site_type_symbol
_atom_site_fract_x
_atom_site_fract_y
_atom_site_fract_z
Pm1 Pm 0.000 0.103 0.250
Pm2 Pm 0.166 0.397 0.087
Dy1 Dy 0.119 0.136 0.816
Er1 Er 0.048 0.365 0.518
Er2 Er 0.216 0.136 0.350
# * distance to the lowest polymorph of the same formula: 84 meV/atom
# * formation energy: 0.92 eV/f.u.

# Ba2Ge3Pd4Au PBE optimized geometry
data_Ba2Ge3Pd4Au
_chemical_formula_sum 'Ba2 Ge3 Pd4 Au1'
_cell_length_a 4.572
_cell_length_b 4.572
_cell_length_c 10.515
_cell_angle_alpha 90.00
_cell_angle_beta 90.00
_cell_angle_gamma 90.00
_space_group_name_H-M_alt 'P -4 m 2'
_space_group_IT_number 115
loop_
_space_group_symop_operation_xyz
'x,y,z'
'y,-x,-z'
'-x,-y,z'
'-y,x,-z'
'-x,y,z'
'-y,-x,-z'
'x,-y,z'
'y,x,-z'
loop_
_atom_site_label
_atom_site_type_symbol
_atom_site_fract_x
_atom_site_fract_y
_atom_site_fract_z
Ba1 Ba 0.000 0.500 0.246
Ge1 Ge 0.000 0.000 0.000
Ge2 Ge 0.000 0.500 0.612
Pd1 Pd 0.000 0.000 0.500
Pd2 Pd 0.000 0.500 0.855
Pd3 Pd 0.500 0.500 0.500
Au1 Au 0.500 0.500 0.000
# * formation energy: -6.08 eV/f.u.

# PmThCd6 PBE optimized geometry
data_PmThCd6
_chemical_formula_sum 'Pm1 Th1 Cd6'
_cell_length_a 6.8034
_cell_length_b 6.8034
_cell_length_c 5.0056
_cell_angle_alpha 90.00
_cell_angle_beta 90.00
_cell_angle_gamma 120.00
_space_group_name_H-M_alt 'P -6 m 2'
_space_group_IT_number 187
_space_group_name_Hall 'P -6 2'
loop_
_atom_site_label
_atom_site_type_symbol
_atom_site_fract_x
_atom_site_fract_y
_atom_site_fract_z
Pm1 Pm 0.0000 0.0000 0.0000
Th1 Th 0.3333 0.6667 0.5000
Cd1 Cd 0.3479 0.1739 0.5000
Cd2 Cd 0.5091 0.0182 0.0000
# * formation energy: -1.83 eV/f.u.

# LiHo2ErPd4 PBE optimized geometry
data_LiHo2ErPd4
_chemical_formula_sum 'Li3 Ho6 Er3 Pd12'
_cell_length_a 4.8531
_cell_length_b 4.8531
_cell_length_c 23.3852
_cell_angle_alpha 90.00
_cell_angle_beta 90.00
_cell_angle_gamma 120.00
_space_group_name_H-M_alt 'R -3 m'
_space_group_IT_number 166
_space_group_name_Hall '-R 3 2"'
loop_
_atom_site_label
_atom_site_type_symbol
_atom_site_fract_x
_atom_site_fract_y
_atom_site_fract_z
Li1 Li 0.0000 0.0000 0.0000
Ho1 Ho 0.0000 0.0000 0.2572
Er1 Er 0.0000 0.0000 0.5000
Pd1 Pd 0.0000 0.0000 0.1260
Pd2 Pd 0.0000 0.0000 0.3788
# * formation energy: -6.51 eV/f.u.

# Dy3TlRh PBE optimized geometry
data_Dy3TlRh
_chemical_formula_sum 'Dy6 Tl2 Rh2'
_cell_length_a 4.761
_cell_length_b 6.864
_cell_length_c 8.316
_cell_angle_alpha 90.00
_cell_angle_beta 90.00
_cell_angle_gamma 90.00
_space_group_name_H-M_alt 'P m m n'
_space_group_IT_number 59
loop_
_space_group_symop_operation_xyz
'x,y,z'
'-x,-y,-z'
'-x+1/2,-y+1/2,z'
'x+1/2,y+1/2,-z'
'x+1/2,-y,-z'
'-x+1/2,y,z'
'-x,y+1/2,-z'
'x,-y+1/2,z'
loop_
_atom_site_label
_atom_site_type_symbol
_atom_site_fract_x
_atom_site_fract_y
_atom_site_fract_z
Dy1 Dy 0.250 0.004 0.157
Dy2 Dy 0.250 0.750 0.563
Tl1 Tl 0.250 0.250 0.680
Rh1 Rh 0.250 0.750 0.893
# * distance to the lowest polymorph of the same formula: 39 meV/atom
# * formation energy: -2.47 eV/f.u.

# Ir5Se PBE optimized geometry
data_Ir5Se
_chemical_formula_sum 'Ir10 Se2'
_cell_length_a 4.448
_cell_length_b 2.818
_cell_length_c 14.483
_cell_angle_alpha 90.00
_cell_angle_beta 90.00
_cell_angle_gamma 90.00
_space_group_name_H-M_alt 'A m m 2'
_space_group_IT_number 38
loop_
_space_group_symop_operation_xyz
'x,y,z'
'-x,-y,z'
'-x,y,z'
'x,-y,z'
'x,y+1/2,z+1/2'
'-x,-y+1/2,z+1/2'
'-x,y+1/2,z+1/2'
'x,-y+1/2,z+1/2'
loop_
_atom_site_label
_atom_site_type_symbol
_atom_site_fract_x
_atom_site_fract_y
_atom_site_fract_z
Ir1 Ir 0.000 0.000 0.000
Ir2 Ir 0.000 0.000 0.326
Ir3 Ir 0.000 0.000 0.666
Ir4 Ir 0.500 0.000 0.214
Ir5 Ir 0.500 0.000 0.553
Se1 Se 0.500 0.000 0.896
# * raw formation energy: 0.3433 eV/atom

The records above yield DFT total energy values of -47.0, -140.9, -163.2, -47.8, -19.5, -128.7, -52.0, -91.5 eV for the cell shown, respectively.